[1]
A plane-wave DFT calculation with PBE was carried out for LiLu2Sc after structural relaxation.

POSCAR file:
```
LiLu2Sc
1.0
-1.001 1.133 2.953
-3.226 0.530 0.567
-2.535 -10.394 4.993
Li Lu Sc
1 2 1
direct
0.000 0.000 0.000 Li
0.091 0.091 0.728 Lu
0.909 0.909 0.272 Lu
0.500 0.500 0.500 Sc
```

Output
E = -16.59 eV for the cell shown
ΔE to the lowest computed polymorph = 80.9 meV per atom
calculated formation energy = 0.1745 eV per atom

[2]
A plane-wave DFT calculation with PBE was carried out for LiLu2Sc after structural relaxation.

POSCAR file:
```
LiLu2Sc
1.0
-1.769 2.846 0.920
-1.438 0.128 -3.161
-6.357 -4.821 2.697
Lu Li Sc
2 1 1
direct
0.000 0.000 0.763 Lu
0.000 0.000 0.237 Lu
0.500 0.500 0.000 Li
0.500 0.500 0.500 Sc
```

Output
E = -16.91 eV for the cell shown
ΔE to the lowest computed polymorph = 0.0 meV per atom
calculated formation energy = 0.0936 eV per atom

[3]
A plane-wave DFT calculation with PBE was carried out for LiLuSc2 after structural relaxation.

POSCAR file:
```
LiLuSc2
1.0
-0.664 2.642 -1.763
-0.696 -0.288 -3.156
-11.605 -0.311 0.920
Lu Sc Li
1 2 1
direct
0.500 0.500 0.500 Lu
0.912 0.912 0.264 Sc
0.088 0.088 0.736 Sc
0.000 0.000 0.000 Li
```

Output
E = -18.27 eV for the cell shown
ΔE to the lowest computed polymorph = 91.7 meV per atom
calculated formation energy = 0.2073 eV per atom

[4]
A plane-wave DFT calculation with PBE was carried out for Li4LuSc after structural relaxation.

POSCAR file:
```
Li4LuSc
1.0
-3.135 -4.618 -0.995
0.925 -4.746 2.960
-3.795 -1.731 3.840
Li Lu Sc
4 1 1
direct
0.624 0.127 0.624 Li
0.624 0.624 0.127 Li
0.624 0.624 0.624 Li
0.127 0.624 0.624 Li
0.000 0.000 0.000 Lu
0.250 0.250 0.250 Sc
```

Output
E = -17.62 eV for the cell shown
calculated formation energy = 0.1486 eV per atom

[5]
A plane-wave DFT calculation with PBE was carried out for LiLuSc2 after structural relaxation.

POSCAR file:
```
LiLuSc2
1.0
3.682 0.000 0.000
0.000 5.173 0.000
0.000 0.000 5.173
Sc Lu Li
2 1 1
direct
0.000 0.000 0.500 Sc
0.000 0.500 0.000 Sc
0.500 0.500 0.500 Lu
0.500 0.000 0.000 Li
```

Output
E = -18.25 eV for the cell shown
ΔE to the lowest computed polymorph = 96.9 meV per atom
calculated formation energy = 0.2125 eV per atom

[6]
A plane-wave DFT calculation with PBE was carried out for LiLu2Sc after structural relaxation.

POSCAR file:
```
LiLu2Sc
1.0
-3.683 -2.773 -2.504
-2.497 -3.889 2.483
-5.047 0.546 1.323
Lu Li Sc
2 1 1
direct
0.750 0.750 0.750 Lu
0.250 0.250 0.250 Lu
0.500 0.500 0.500 Li
0.000 0.000 0.000 Sc
```

Output
E = -16.60 eV for the cell shown
ΔE to the lowest computed polymorph = 77.3 meV per atom
calculated formation energy = 0.1709 eV per atom

[7]
A plane-wave DFT calculation with PBE was carried out for Li2LuSc after structural relaxation.

POSCAR file:
```
Li2LuSc
1.0
3.558 0.000 0.000
0.000 3.558 0.000
0.000 0.000 7.091
Sc Li Lu
1 2 1
direct
0.500 0.500 0.500 Sc
0.000 0.000 0.737 Li
0.000 0.000 0.263 Li
0.500 0.500 0.000 Lu
```

Output
E = -13.92 eV for the cell shown
ΔE to the lowest computed polymorph = 0.0 meV per atom
calculated formation energy = 0.1896 eV per atom

[8]
A plane-wave DFT calculation with PBE was carried out for LiLu2Sc after structural relaxation.

POSCAR file:
```
LiLu2Sc
1.0
-2.060 2.903 0.925
-4.368 -2.802 -0.935
-0.033 -1.623 5.017
Lu Sc Li
2 1 1
direct
0.000 0.500 0.000 Lu
0.000 0.000 0.500 Lu
0.500 0.000 0.000 Sc
0.500 0.500 0.500 Li
```

Output
E = -16.71 eV for the cell shown
ΔE to the lowest computed polymorph = 50.7 meV per atom
calculated formation energy = 0.1443 eV per atom